Run 1
Computed, not measured: a relaxed structure of In2AsF at the PBE-GGA level of DFT.

Structure (extended XYZ):
```
4
Lattice="0.000 3.430 3.430 3.430 0.000 3.430 3.430 3.430 0.000" Properties=species:S:1:pos:R:3 pbc="T T T"
In 1.715 1.715 1.715
In 5.145 5.145 5.145
As 0.000 0.000 0.000
F 3.430 3.430 3.430
```

M_tot = 0.0 μB/cell


Run 2
Computed, not measured: a relaxed structure of In2AsF at the PBE-GGA level of DFT.

Structure (extended XYZ):
```
8
Lattice="-2.629 2.629 7.226 2.629 -2.629 7.226 2.629 2.629 -7.226" Properties=species:S:1:pos:R:3 pbc="T T T"
In 3.943 1.002 -1.807
In 1.002 1.314 1.807
In -1.314 1.627 5.420
In 1.627 1.314 9.033
As 2.629 0.000 3.613
As 0.000 0.000 7.226
F 0.000 0.000 0.000
F 0.000 2.629 3.613
```

M_tot = 0.0 μB/cell


Q: Which of them is the least stable? A: run 2.


Run 1
Computed, not measured: a relaxed structure of InAsN2F at the PBE-GGA level of DFT.

Structure (extended XYZ):
```
5
Lattice="3.964 0.000 0.000 0.000 3.964 0.000 0.000 0.000 3.999" Properties=species:S:1:pos:R:3 pbc="T T T"
In 0.000 0.000 0.000
As 1.982 1.982 2.000
N 0.000 1.982 2.000
N 1.982 0.000 2.000
F 1.982 1.982 0.000
```

M_tot = 0.1 μB/cell


Run 2
Computed, not measured: a relaxed structure of InAsN2F at the PBE-GGA level of DFT.

Structure (extended XYZ):
```
5
Lattice="4.325 0.000 0.000 0.000 4.325 0.000 0.000 0.000 4.110" Properties=species:S:1:pos:R:3 pbc="T T T"
In 0.000 0.000 0.000
As 2.163 2.163 2.055
N 0.000 2.163 0.000
N 2.163 0.000 0.000
F 0.000 0.000 2.055
```

M_tot = 0.9 μB/cell


Q: Which of them is the least stable? A: run 2.